Material: PrTm2Re
Method: DFT, PBE-GGA
State: optimized geometry

Geometry as CIF:
```
data_PrTm2Re
_chemical_formula_sum 'Pr1 Tm2 Re1'
_cell_length_a 11.5071
_cell_length_b 11.5071
_cell_length_c 11.5071
_cell_angle_alpha 16.18
_cell_angle_beta 16.18
_cell_angle_gamma 16.18
_space_group_name_H-M_alt 'P 1'
_space_group_IT_number 1
_space_group_name_Hall 'P 1'
loop_
_atom_site_label
_atom_site_type_symbol
_atom_site_fract_x
_atom_site_fract_y
_atom_site_fract_z
Pr1 Pr 0.0000 0.0000 0.0000
Tm1 Tm 0.4221 0.4221 0.4221
Tm2 Tm 0.5779 0.5779 0.5779
Re1 Re 0.5000 0.5000 0.5000
```

Calculated values
As for the magnetic moment: 0.35 Bohr magnetons per cell. The electronic total energy comes out at -5.752 eV/atom. The calculation puts the formation energy at 0.79 eV/atom. The volume comes out at 103 Å³/f.u.